Na2AcRhO5 | the Alexandria database | PBE | relaxed; magnetic moment = 1.89 μB/f.u.; D(E_F) = 3.66 states/eV/cell; ΔE_f (raw) = -1681.7 meV per atom
1.0
-1.906 2.836 5.778
1.906 -2.836 5.778
1.906 2.836 -5.778
Na Ac Rh O
2 1 1 5
Direct
0.215 0.215 0.000
0.785 0.785 0.000
0.500 0.000 0.500
0.000 0.500 0.500
0.000 0.000 0.000
0.140 0.382 0.758
0.376 0.618 0.758
0.624 0.382 0.242
0.860 0.618 0.242

Na2AcRhO4 | the Alexandria database | PBE | relaxed; magnetic moment = 0.11 μB/f.u.; D(E_F) = 6.67 states/eV/cell; ΔE_f (raw) = -1476.2 meV per atom
1.0
1.848 -5.876 0.000
1.848 5.876 0.000
0.000 0.000 10.932
Na Ac Rh O
4 2 2 8
Direct
0.119 0.881 0.539
0.119 0.881 0.961
0.881 0.119 0.039
0.881 0.119 0.461
0.393 0.607 0.750
0.607 0.393 0.250
0.344 0.656 0.250
0.656 0.344 0.750
0.075 0.925 0.750
0.215 0.785 0.134
0.215 0.785 0.366
0.500 0.500 0.000
0.500 0.500 0.500
0.785 0.215 0.634
0.785 0.215 0.866
0.925 0.075 0.250

NaAc2RhO6 | the Alexandria database | PBE | relaxed; magnetic moment = 2.03 μB/f.u.; D(E_F) = 9.32 states/eV/cell; ΔE_f (raw) = -2212.9 meV per atom
1.0
5.754 0.000 0.000
0.000 6.071 0.000
-5.726 0.000 8.214
Na Ac Rh O
2 4 2 12
Direct
0.000 0.000 0.000
0.000 0.500 0.500
0.235 0.063 0.749
0.235 0.437 0.249
0.765 0.563 0.751
0.765 0.937 0.251
0.500 0.000 0.500
0.500 0.500 0.000
0.171 0.179 0.456
0.171 0.321 0.956
0.273 0.723 0.448
0.273 0.777 0.948
0.360 0.032 0.267
0.360 0.468 0.767
0.640 0.532 0.233
0.640 0.968 0.733
0.727 0.223 0.052
0.727 0.277 0.552
0.829 0.679 0.044
0.829 0.821 0.544

Na2AcRh3O8 | the Alexandria database | PBE | relaxed; magnetic moment = 0.00 μB/f.u.; D(E_F) = 1.16 states/eV/cell; ΔE_f (raw) = -1377.0 meV per atom
1.0
3.221 1.860 5.394
-3.221 1.860 5.394
0.000 -3.719 5.394
Na Ac Rh O
2 1 3 8
Direct
0.000 0.000 0.000
0.375 0.375 0.375
0.614 0.614 0.614
0.490 0.998 0.998
0.998 0.490 0.998
0.998 0.998 0.490
0.180 0.752 0.752
0.227 0.227 0.227
0.254 0.254 0.803
0.254 0.803 0.254
0.752 0.180 0.752
0.752 0.752 0.180
0.767 0.767 0.767
0.803 0.254 0.254

Na3Ac2RhO6 | the Alexandria database | PBE | relaxed; magnetic moment = 0.00 μB/f.u.; ΔE_f (raw) = -1978.8 meV per atom
1.0
3.024 -5.386 0.000
3.024 5.386 0.000
-1.790 0.000 5.716
Na Ac Rh O
3 2 1 6
Direct
0.000 0.000 0.000
0.368 0.632 0.000
0.632 0.368 0.000
0.169 0.831 0.500
0.831 0.169 0.500
0.500 0.500 0.500
0.144 0.432 0.279
0.262 0.262 0.712
0.432 0.144 0.279
0.568 0.856 0.721
0.738 0.738 0.288
0.856 0.568 0.721

Na4Ac3RhO8 | the Alexandria database | PBE | relaxed; magnetic moment = 0.00 μB/f.u.; ΔE_f (raw) = -2037.0 meV per atom
1.0
3.609 2.084 5.717
-3.609 2.084 5.717
0.000 -4.168 5.717
Na Ac Rh O
4 3 1 8
Direct
0.000 0.000 0.000
0.000 0.500 0.500
0.500 0.000 0.500
0.500 0.500 0.000
0.000 0.000 0.500
0.000 0.500 0.000
0.500 0.000 0.000
0.500 0.500 0.500
0.243 0.243 0.243
0.271 0.724 0.724
0.276 0.276 0.729
0.276 0.729 0.276
0.724 0.271 0.724
0.724 0.724 0.271
0.729 0.276 0.276
0.757 0.757 0.757

Na3Ac3RhO8 | the Alexandria database | PBE | relaxed; magnetic moment = 1.07 μB/f.u.; D(E_F) = 7.22 states/eV/cell; ΔE_f (raw) = -2128.8 meV per atom
1.0
3.646 2.105 5.573
-3.646 2.105 5.573
0.000 -4.209 5.573
Na Ac Rh O
3 3 1 8
Direct
0.000 0.500 0.500
0.500 0.000 0.500
0.500 0.500 0.000
0.000 0.000 0.500
0.000 0.500 0.000
0.500 0.000 0.000
0.500 0.500 0.500
0.242 0.242 0.242
0.283 0.710 0.710
0.290 0.290 0.717
0.290 0.717 0.290
0.710 0.283 0.710
0.710 0.710 0.283
0.717 0.290 0.290
0.758 0.758 0.758

NaAc3Rh2O9 | the Alexandria database | PBE | relaxed; magnetic moment = 2.09 μB/f.u.; D(E_F) = 7.38 states/eV/cell; ΔE_f (raw) = -2102.7 meV per atom
1.0
5.752 0.000 0.000
-2.876 4.982 0.000
0.000 0.000 7.035
Na Ac Rh O
1 3 2 9
Direct
0.000 0.000 0.000
0.000 0.000 0.500
0.333 0.667 0.154
0.667 0.333 0.846
0.333 0.667 0.664
0.667 0.333 0.336
0.000 0.500 0.500
0.175 0.350 0.825
0.175 0.825 0.825
0.350 0.175 0.175
0.500 0.000 0.500
0.500 0.500 0.500
0.650 0.825 0.825
0.825 0.175 0.175
0.825 0.650 0.175

NaAc2Rh3O8 | the Alexandria database | PBE | relaxed; magnetic moment = 0.00 μB/f.u.; ΔE_f (raw) = -1679.1 meV per atom
1.0
3.304 1.907 5.889
-3.304 1.907 5.889
0.000 -3.815 5.889
Na Ac Rh O
1 2 3 8
Direct
0.000 0.000 0.000
0.337 0.337 0.337
0.821 0.821 0.821
0.350 0.350 0.840
0.350 0.840 0.350
0.840 0.350 0.350
0.084 0.084 0.560
0.084 0.560 0.084
0.127 0.127 0.127
0.173 0.583 0.583
0.560 0.084 0.084
0.567 0.567 0.567
0.583 0.173 0.583
0.583 0.583 0.173

NaAc4Rh3O12 | the Alexandria database | PBE | relaxed; magnetic moment = 8.01 μB/f.u.; D(E_F) = 5.74 states/eV/cell; ΔE_f (raw) = -1914.4 meV per atom
1.0
-4.410 4.410 4.410
4.410 -4.410 4.410
4.410 4.410 -4.410
Na Ac Rh O
1 4 3 12
Direct
0.000 0.000 0.000
0.000 0.000 0.500
0.000 0.500 0.000
0.500 0.000 0.000
0.500 0.500 0.500
0.000 0.500 0.500
0.500 0.000 0.500
0.500 0.500 0.000
0.150 0.336 0.485
0.150 0.664 0.814
0.186 0.850 0.336
0.336 0.186 0.850
0.336 0.485 0.150
0.485 0.150 0.336
0.515 0.850 0.664
0.664 0.515 0.850
0.664 0.814 0.150
0.814 0.150 0.664
0.850 0.336 0.186
0.850 0.664 0.515

Na2AcRhO6 | the Alexandria database | PBE | relaxed; magnetic moment = 1.70 μB/f.u.; D(E_F) = 16.74 states/eV/cell; ΔE_f (raw) = -1403.9 meV per atom
1.0
5.717 0.000 0.000
0.000 6.065 0.000
-5.708 0.000 8.235
Na Ac Rh O
4 2 2 12
Direct
0.226 0.041 0.232
0.226 0.459 0.732
0.774 0.541 0.268
0.774 0.959 0.768
0.000 0.000 0.500
0.000 0.500 0.000
0.500 0.000 0.000
0.500 0.500 0.500
0.180 0.164 0.961
0.180 0.336 0.461
0.261 0.736 0.917
0.261 0.764 0.417
0.393 0.075 0.783
0.393 0.425 0.283
0.607 0.575 0.717
0.607 0.925 0.217
0.739 0.236 0.583
0.739 0.264 0.083
0.820 0.664 0.539
0.820 0.836 0.039

NaAc2RuO5 | the Alexandria database | PBE | relaxed; magnetic moment = 3.00 μB/f.u.; ΔE_f (raw) = -2244.9 meV per atom
1.0
7.247 0.000 0.000
0.000 7.247 0.000
0.000 0.000 5.891
Na Ac Ru O
2 4 2 10
Direct
0.000 0.000 0.000
0.500 0.500 0.000
0.180 0.320 0.500
0.320 0.820 0.500
0.680 0.180 0.500
0.820 0.680 0.500
0.000 0.500 0.000
0.500 0.000 0.000
0.000 0.000 0.500
0.130 0.630 0.242
0.130 0.630 0.758
0.370 0.130 0.242
0.370 0.130 0.758
0.500 0.500 0.500
0.630 0.870 0.242
0.630 0.870 0.758
0.870 0.370 0.242
0.870 0.370 0.758

NaAcRu2O7 | the Alexandria database | PBE | relaxed; magnetic moment = 5.01 μB/f.u.; D(E_F) = 2.93 states/eV/cell; ΔE_f (raw) = -1567.8 meV per atom
1.0
-1.962 1.962 10.480
1.962 -1.962 10.480
1.962 1.962 -10.480
Na Ac Ru O
1 1 2 7
Direct
0.000 0.000 0.000
0.250 0.750 0.500
0.645 0.145 0.500
0.855 0.355 0.500
0.160 0.160 0.000
0.337 0.337 0.000
0.559 0.059 0.500
0.663 0.663 0.000
0.750 0.250 0.500
0.840 0.840 0.000
0.941 0.441 0.500

Na2AcRu2O7 | the Alexandria database | PBE | relaxed; magnetic moment = 5.00 μB/f.u.; D(E_F) = 3.20 states/eV/cell; ΔE_f (raw) = -1598.6 meV per atom
1.0
-2.018 2.019 9.847
2.018 -2.019 9.847
2.018 2.019 -9.847
Na Ac Ru O
2 1 2 7
Direct
0.250 0.250 0.000
0.750 0.750 0.000
0.500 0.000 0.500
0.105 0.605 0.500
0.895 0.395 0.500
0.000 0.500 0.500
0.092 0.092 0.000
0.200 0.700 0.500
0.408 0.408 0.000
0.592 0.592 0.000
0.800 0.300 0.500
0.908 0.908 0.000

Na2Ac2RuO6 | the Alexandria database | PBE | relaxed; magnetic moment = 2.00 μB/f.u.; D(E_F) = 5.22 states/eV/cell; ΔE_f (raw) = -2052.7 meV per atom
1.0
3.112 -5.386 0.000
3.112 5.386 0.000
-1.180 0.000 5.772
Na Ac Ru O
2 2 1 6
Direct
0.123 0.877 0.000
0.877 0.123 0.000
0.338 0.662 0.500
0.662 0.338 0.500
0.000 0.000 0.500
0.027 0.318 0.687
0.235 0.235 0.293
0.318 0.027 0.687
0.682 0.973 0.313
0.765 0.765 0.707
0.973 0.682 0.313

Na4Ac3RuO8 | the Alexandria database | PBE | relaxed; magnetic moment = 1.01 μB/f.u.; D(E_F) = 7.03 states/eV/cell; ΔE_f (raw) = -2026.4 meV per atom
1.0
6.103 -3.586 0.000
6.103 3.586 0.000
-3.907 0.000 5.883
Na Ac Ru O
4 3 1 8
Direct
0.000 0.000 0.000
0.000 0.500 0.500
0.500 0.000 0.500
0.500 0.500 0.000
0.000 0.000 0.500
0.000 0.500 0.000
0.500 0.000 0.000
0.500 0.500 0.500
0.242 0.242 0.754
0.266 0.724 0.269
0.276 0.734 0.731
0.286 0.286 0.282
0.714 0.714 0.718
0.724 0.266 0.269
0.734 0.276 0.731
0.758 0.758 0.246

Na3Ac3RuO8 | the Alexandria database | PBE | relaxed; magnetic moment = 2.00 μB/f.u.; D(E_F) = 6.27 states/eV/cell; ΔE_f (raw) = -2168.7 meV per atom
1.0
3.645 2.104 5.583
-3.645 2.104 5.583
0.000 -4.209 5.583
Na Ac Ru O
3 3 1 8
Direct
0.000 0.500 0.500
0.500 0.000 0.500
0.500 0.500 0.000
0.000 0.000 0.500
0.000 0.500 0.000
0.500 0.000 0.000
0.500 0.500 0.500
0.243 0.243 0.243
0.284 0.709 0.709
0.291 0.291 0.716
0.291 0.716 0.291
0.709 0.284 0.709
0.709 0.709 0.284
0.716 0.291 0.291
0.757 0.757 0.757

NaAcRuO6 | the Alexandria database | PBE | relaxed; magnetic moment = 0.00 μB/f.u.; D(E_F) = 1.09 states/eV/cell; ΔE_f (raw) = -1492.2 meV per atom
1.0
5.580 0.000 0.000
-2.790 4.832 0.000
0.000 0.000 5.111
Na Ac Ru O
1 1 1 6
Direct
0.000 0.000 0.000
0.667 0.333 0.500
0.333 0.667 0.000
0.056 0.393 0.213
0.056 0.663 0.787
0.337 0.393 0.787
0.337 0.944 0.213
0.607 0.663 0.213
0.607 0.944 0.787